Here is AlAg7 at its PBEsol-relaxed geometry from the Alexandria database. Energies are from meta-GGA SCAN.

```
data_AlAg7
_cell_length_a 8.058
_cell_length_b 8.058
_cell_length_c 8.058
_cell_angle_alpha 90.00
_cell_angle_beta 90.00
_cell_angle_gamma 90.00
_symmetry_space_group_name_H-M 'F m -3 m'
_symmetry_Int_Tables_number 225
_symmetry_space_group_name_Hall '-F 4 2 3'
loop_
_atom_site_label
_atom_site_type_symbol
_atom_site_fract_x
_atom_site_fract_y
_atom_site_fract_z
Al1 Al 0.000 0.000 0.000
Ag1 Ag 0.000 0.000 0.500
Ag2 Ag 0.000 0.250 0.250
```

Calculated values
The calculation puts the energy above the lowest structure with this stoichiometry at 0.000 eV/atom. For the density of states at the Fermi level, the calculation gives 0.198 states/eV/atom.